Tm2CdWO8: relaxed, PBE with a Hubbard U.

Its spin magnetization is 1.68 μB/f.u. The total DFT energy (no corrections) comes out at -0.25520 hartree per atom. The theoretical density is 7.46 Mg/m³.

```
12
Lattice="-1.191 -4.296 -2.162 3.811 -2.069 2.391 -4.155 -1.519 5.314" Properties=species:S:1:pos:R:3 pbc="T T T"
Tm -1.806 -4.322 4.102
Tm 0.271 -3.563 1.441
Cd -2.078 -0.760 2.657
W 0.000 0.000 0.000
O 2.019 -2.797 2.610
O -2.277 -6.076 5.479
O -1.092 -4.188 -0.220
O -3.554 -5.088 2.933
O 0.743 -1.809 0.063
O -0.442 -3.697 5.763
O -0.259 -5.168 2.818
O -1.275 -2.717 2.725
```